--- A ---
{
  "formula": "Pm2Nd6Tm3",
  "functional": "PBE",
  "state": "relaxed",
  "sg": "No. 139",
  "cell": [[-1.3791, -2.6727, 3.7074], [0.6827, -3.9496, -2.5933], [16.5225, 2.5274, 4.8946]],
  "species": ["Pm", "Pm", "Nd", "Nd", "Nd", "Nd", "Nd", "Nd", "Tm", "Tm", "Tm"],
  "fractional_positions": [[0.4550, 0.4549, 0.9099], [0.5450, 0.5451, 0.0901], [0.1217, 0.6217, 0.2434], [0.6217, 0.1217, 0.2434], [0.8783, 0.3783, 0.7566], [0.3783, 0.8783, 0.7566], [0.7052, 0.7052, 0.4105], [0.2948, 0.2948, 0.5895], [0.0000, 0.0000, 0.0000], [0.8053, 0.8053, 0.6105], [0.1947, 0.1947, 0.3895]]
}


--- B ---
{
  "formula": "Pm2Nd6Tm3",
  "functional": "PBE",
  "state": "relaxed",
  "sg": "No. 2",
  "cell": [[-0.4715, 4.7145, 4.1073], [-5.9297, -4.6266, 3.0509], [-3.7393, -2.9751, 14.1411]],
  "species": ["Pm", "Pm", "Nd", "Nd", "Nd", "Nd", "Nd", "Nd", "Tm", "Tm", "Tm"],
  "fractional_positions": [[0.6399, 0.4590, 0.0895], [0.3601, 0.5410, 0.9105], [0.0928, 0.6377, 0.7272], [0.7291, 0.0930, 0.8172], [0.9072, 0.3623, 0.2728], [0.2709, 0.9070, 0.1828], [0.8178, 0.7224, 0.5458], [0.1822, 0.2776, 0.4542], [0.0000, 0.0000, 0.0000], [0.5474, 0.8176, 0.3627], [0.4526, 0.1824, 0.6373]]
}


Least stable of them? A.


--- A ---
{
  "formula": "PmNd3Tm7",
  "functional": "PBE",
  "state": "relaxed",
  "sg": "No. 156",
  "cell": [[-3.7592, -0.0149, -7.8058], [3.2656, -6.0184, -1.5612], [-6.3263, -0.1255, 3.0470]],
  "species": ["Pm", "Nd", "Nd", "Nd", "Tm", "Tm", "Tm", "Tm", "Tm", "Tm", "Tm"],
  "fractional_positions": [[0.4448, 0.3333, 0.6667], [0.7845, 0.5004, 0.4996], [0.7845, 0.5004, 0.0007], [0.7845, 0.9993, 0.4996], [0.1212, 0.1669, 0.8331], [0.1212, 0.1669, 0.3339], [0.1227, 0.6667, 0.3333], [0.4434, 0.8326, 0.1674], [0.4434, 0.3348, 0.1674], [0.4434, 0.8326, 0.6652], [0.1212, 0.6661, 0.8331]]
}


--- B ---
{
  "formula": "PmNd3Tm7",
  "functional": "PBE",
  "state": "relaxed",
  "sg": "No. 10",
  "cell": [[-3.9629, 1.9628, -7.6825], [8.9503, -3.7636, -2.4076], [-0.9194, -4.2915, 3.2972]],
  "species": ["Pm", "Nd", "Nd", "Nd", "Tm", "Tm", "Tm", "Tm", "Tm", "Tm", "Tm"],
  "fractional_positions": [[0.5000, 0.5000, 0.5000], [0.2155, 0.9992, 0.7160], [0.0000, 0.5000, 0.0000], [0.7845, 0.0008, 0.2840], [0.9131, 0.8301, 0.9131], [0.8196, 0.6392, 0.3196], [0.6430, 0.2887, 0.1429], [0.3570, 0.7113, 0.8571], [0.5000, 0.0000, 0.5000], [0.1804, 0.3608, 0.6804], [0.0869, 0.1699, 0.0869]]
}


Least stable of them? A.


--- A ---
{
  "formula": "Pm7NdTm3",
  "functional": "PBE",
  "state": "relaxed",
  "sg": "No. 2",
  "cell": [[9.7211, -2.3905, -1.9777], [-5.5924, 8.3107, 1.9793], [-2.4235, 1.6945, 12.1134]],
  "species": ["Pm", "Pm", "Pm", "Pm", "Pm", "Pm", "Pm", "Pm", "Pm", "Pm", "Pm", "Pm", "Pm", "Pm", "Nd", "Nd", "Tm", "Tm", "Tm", "Tm", "Tm", "Tm"],
  "fractional_positions": [[0.1689, 0.8455, 0.2754], [0.1547, 0.8311, 0.7754], [0.0837, 0.4200, 0.4700], [0.0817, 0.4186, 0.9702], [0.5794, 0.9159, 0.9699], [0.5809, 0.9179, 0.4702], [0.2584, 0.2583, 0.7500], [0.7416, 0.7417, 0.2500], [0.4206, 0.0841, 0.0301], [0.4191, 0.0821, 0.5298], [0.9183, 0.5814, 0.0298], [0.9163, 0.5800, 0.5300], [0.8453, 0.1689, 0.2246], [0.8311, 0.1545, 0.7246], [0.5000, 0.5000, 0.0000], [0.5000, 0.5000, 0.5000], [0.3276, 0.6646, 0.7229], [0.0000, 0.0000, 0.0000], [0.0000, 0.0000, 0.5000], [0.3353, 0.6723, 0.2229], [0.6647, 0.3277, 0.7771], [0.6724, 0.3354, 0.2771]]
}


--- B ---
{
  "formula": "Pm7NdTm3",
  "functional": "PBE",
  "state": "relaxed",
  "sg": "No. 156",
  "cell": [[-6.8293, -0.1516, -5.2931], [3.1968, -5.0522, -3.9800], [-4.2179, -1.8935, 5.4963]],
  "species": ["Pm", "Pm", "Pm", "Pm", "Pm", "Pm", "Pm", "Nd", "Tm", "Tm", "Tm"],
  "fractional_positions": [[0.1081, 0.1673, 0.8327], [0.1081, 0.1673, 0.3345], [0.1240, 0.6667, 0.3333], [0.4581, 0.8327, 0.1673], [0.4581, 0.3347, 0.1673], [0.4581, 0.8327, 0.6653], [0.1081, 0.6655, 0.8327], [0.4419, 0.3333, 0.6667], [0.7835, 0.5002, 0.4998], [0.7835, 0.5002, 0.0003], [0.7835, 0.9997, 0.4998]]
}


Least stable of them? B.


--- A ---
{
  "formula": "Pm3Nd6Tm2",
  "functional": "PBE",
  "state": "relaxed",
  "sg": "No. 166",
  "cell": [[3.6318, 0.0000, 0.2228], [1.8091, 3.1492, 0.2228], [-0.1825, -0.1056, 32.6876]],
  "species": ["Pm", "Pm", "Pm", "Nd", "Nd", "Nd", "Nd", "Nd", "Nd", "Tm", "Tm"],
  "fractional_positions": [[0.0000, 0.0000, 0.0000], [0.7280, 0.7280, 0.8160], [0.2720, 0.2720, 0.1840], [0.9079, 0.9079, 0.2763], [0.0921, 0.0921, 0.7237], [0.8178, 0.8178, 0.5467], [0.1822, 0.1822, 0.4533], [0.6360, 0.6360, 0.0921], [0.3640, 0.3640, 0.9079], [0.5451, 0.5451, 0.3647], [0.4549, 0.4549, 0.6353]]
}


--- B ---
{
  "formula": "Pm3Nd6Tm2",
  "functional": "PBE",
  "state": "relaxed",
  "sg": "No. 139",
  "cell": [[4.8229, 0.0000, 0.0000], [0.0000, 4.8229, 0.0000], [-2.4114, -2.4114, 16.9038]],
  "species": ["Pm", "Pm", "Pm", "Nd", "Nd", "Nd", "Nd", "Nd", "Nd", "Tm", "Tm"],
  "fractional_positions": [[0.0000, 0.0000, 0.0000], [0.8024, 0.8024, 0.6048], [0.1976, 0.1976, 0.3952], [0.1190, 0.6190, 0.2381], [0.6190, 0.1190, 0.2381], [0.8810, 0.3810, 0.7619], [0.3810, 0.8810, 0.7619], [0.7007, 0.7007, 0.4013], [0.2993, 0.2993, 0.5987], [0.4548, 0.4548, 0.9096], [0.5452, 0.5452, 0.0904]]
}


Least stable of them? B.


--- A ---
{
  "formula": "Pm12Nd5Tm2",
  "functional": "PBE",
  "state": "relaxed",
  "sg": "No. 12",
  "cell": [[-3.9876, -3.0907, 3.7251], [2.5826, -10.2105, -2.3358], [6.8649, -4.4276, 7.0462]],
  "species": ["Pm", "Pm", "Pm", "Pm", "Pm", "Pm", "Pm", "Pm", "Pm", "Pm", "Pm", "Pm", "Nd", "Nd", "Nd", "Nd", "Nd", "Tm", "Tm"],
  "fractional_positions": [[0.9990, 0.8810, 0.8810], [0.1983, 0.5491, 0.0589], [0.1983, 0.0589, 0.5491], [0.6186, 0.6439, 0.1509], [0.6186, 0.1509, 0.6439], [0.2732, 0.4474, 0.4474], [0.7268, 0.5526, 0.5526], [0.3814, 0.3561, 0.8491], [0.3814, 0.8491, 0.3561], [0.8017, 0.4509, 0.9411], [0.8017, 0.9411, 0.4509], [0.0010, 0.1190, 0.1190], [0.4450, 0.2155, 0.2155], [0.8574, 0.3240, 0.3240], [0.5000, 0.0000, 0.0000], [0.1426, 0.6760, 0.6760], [0.5550, 0.7845, 0.7845], [0.0000, 0.2305, 0.7695], [0.0000, 0.7695, 0.2305]]
}


--- B ---
{
  "formula": "Pm12Nd5Tm2",
  "functional": "PBE",
  "state": "relaxed",
  "sg": "No. 12",
  "cell": [[-3.6098, 0.5950, -6.2331], [5.4206, -8.4745, 0.2420], [-6.0499, -8.1103, 2.7295]],
  "species": ["Pm", "Pm", "Pm", "Pm", "Pm", "Pm", "Pm", "Pm", "Pm", "Pm", "Pm", "Pm", "Nd", "Nd", "Nd", "Nd", "Nd", "Tm", "Tm"],
  "fractional_positions": [[0.9786, 0.9572, 0.2389], [0.0887, 0.6804, 0.8661], [0.5918, 0.6804, 0.8661], [0.0846, 0.6682, 0.5188], [0.5837, 0.6682, 0.5188], [0.5026, 0.0053, 0.6812], [0.4974, 0.9947, 0.3188], [0.9154, 0.3318, 0.4812], [0.4163, 0.3318, 0.4812], [0.9113, 0.3196, 0.1339], [0.4082, 0.3196, 0.1339], [0.0214, 0.0428, 0.7611], [0.1837, 0.3674, 0.8165], [0.3255, 0.6511, 0.2071], [0.0000, 0.0000, 0.5000], [0.6745, 0.3489, 0.7929], [0.8163, 0.6326, 0.1835], [0.7191, 0.0000, 0.0000], [0.2809, 0.0000, 0.0000]]
}


Least stable of them? B.


--- A ---
{
  "formula": "Pm2NdTm6",
  "functional": "PBE",
  "state": "relaxed",
  "sg": "No. 15",
  "cell": [[6.5353, -0.1064, -0.1031], [1.5525, 9.3502, -0.7328], [1.5524, -0.4294, 9.3693]],
  "species": ["Pm", "Pm", "Pm", "Pm", "Nd", "Nd", "Tm", "Tm", "Tm", "Tm", "Tm", "Tm", "Tm", "Tm", "Tm", "Tm", "Tm", "Tm"],
  "fractional_positions": [[0.1273, 0.6150, 0.6693], [0.3727, 0.3307, 0.3850], [0.8727, 0.3850, 0.3307], [0.6273, 0.6693, 0.6150], [0.2500, 0.1206, 0.8794], [0.7500, 0.8794, 0.1206], [0.5001, 0.6537, 0.2783], [0.9999, 0.7217, 0.3463], [0.4999, 0.3463, 0.7217], [0.0001, 0.2783, 0.6537], [0.7348, 0.0573, 0.4625], [0.7652, 0.5375, 0.9427], [0.2652, 0.9427, 0.5375], [0.2348, 0.4625, 0.0573], [0.3183, 0.7800, 0.9535], [0.1817, 0.0465, 0.2200], [0.6817, 0.2200, 0.0465], [0.8183, 0.9535, 0.7800]]
}


--- B ---
{
  "formula": "Pm2NdTm6",
  "functional": "PBE",
  "state": "relaxed",
  "sg": "No. 65",
  "cell": [[-3.3347, 1.2213, -0.5163], [-0.3176, -9.9059, 3.5569], [1.0872, -3.3843, 9.9121]],
  "species": ["Pm", "Pm", "Nd", "Tm", "Tm", "Tm", "Tm", "Tm", "Tm"],
  "fractional_positions": [[0.6096, 0.3049, 0.3049], [0.3904, 0.6951, 0.6951], [0.5000, 0.5000, 0.5000], [0.1812, 0.6572, 0.0238], [0.8188, 0.3428, 0.9762], [0.8188, 0.9762, 0.3428], [0.0000, 0.1767, 0.8233], [0.0000, 0.8233, 0.1767], [0.1812, 0.0238, 0.6572]]
}


Least stable of them? B.